A plane-wave DFT calculation with PBE was carried out for a geometry-optimized BaCrGa2Ge structure.

Values from the calculation:
For the volume, the calculation gives 22.327 A^3/atom. For the uncorrected energy, the calculation gives -4.73 eV/atom. The space group is P4/mmm, No. 123. Its formation energy is -0.2854 eV per atom. Its mass density is 5.97 g cm⁻³.

The structure in extended XYZ format:
```
5
Lattice="4.852 0.000 0.000 0.000 4.852 0.000 0.000 0.000 4.743" Properties=species:S:1:pos:R:3 pbc="T T T"
Ba 0.000 0.000 0.000
Cr 2.426 2.426 2.371
Ga 0.000 2.426 2.371
Ga 2.426 0.000 2.371
Ge 2.426 2.426 0.000
```


A plane-wave DFT calculation with PBE was carried out for a geometry-optimized LaDyTl2 structure.

Values from the calculation:
For the volume, the calculation gives 29.294 A^3/atom. For the uncorrected energy, the calculation gives -3.96 eV/atom. The space group is P4/mmm, No. 123. Its formation energy is -0.3912 eV per atom. Its mass density is 10.06 g cm⁻³.

The structure in extended XYZ format:
```
4
Lattice="3.847 0.000 0.000 0.000 3.847 0.000 0.000 0.000 7.916" Properties=species:S:1:pos:R:3 pbc="T T T"
La 0.000 0.000 0.000
Dy 0.000 0.000 3.958
Tl 1.924 1.924 2.126
Tl 1.924 1.924 5.790
```


no.,N(E_F) (states/eV per atom)
1,0.44
2,0.89